Record 1
A plane-wave DFT calculation with PBE was carried out for a relaxed structure of Rb2CuTc.

Properties
- Density of states at the Fermi level: 1.392 states/eV per atom
- Polymorph energy (0 for the lowest one): 0.340 eV/atom

Cell: 8.4380 8.4380 8.4380 Å, 90.00 90.00 90.00°
Last column: nearest neighbours and their distance in Å.
Space group Fm-3m (No. 225)
Unique sites:
Rb (0.2500, 0.2500, 0.2500) [8 per cell]  4 Tc 3.65, 4 Cu 3.65
Cu (0.0000, 0.0000, 0.0000) [4 per cell]  8 Rb 3.65
Tc (0.0000, 0.0000, 0.5000) [4 per cell]  8 Rb 3.65

Record 2
A plane-wave DFT calculation with PBE was carried out for a relaxed structure of TcOs.

Properties
- Density of states at the Fermi level: 0.759 states/eV per atom
- Polymorph energy (0 for the lowest one): 0.015 eV/atom

Cell: 2.7599 4.3652 4.7773 Å, 90.00 90.00 90.00°
Last column: nearest neighbours and their distance in Å.
Space group Pmmn (No. 59, origin choice 2)
Unique sites:
Tc (0.2500, 0.2500, 0.0833) [2 per cell]  6 Tc 2.70-2.76, 6 Os 2.71-2.76
Os (0.2500, 0.7500, 0.4179) [2 per cell]  6 Os 2.70-2.76, 6 Tc 2.71-2.76

Record 3
A plane-wave DFT calculation with PBE was carried out for a relaxed structure of SmTcSn.

Properties
- Final energy: -118.2 eV per cell
- Density of states at the Fermi level: 0.819 states/eV per atom

Cell: 4.1854 4.1854 30.9726 Å, 90.00 90.00 120.00°
Last column: nearest neighbours and their distance in Å.
Space group R-3m (No. 166, hexagonal axes)
Unique sites:
Sm (0.0000, 0.0000, 0.0688) [6 per cell]  6 Tc 3.10-3.35, 3 Sn 3.31
Tc (0.0000, 0.0000, 0.3395) [6 per cell]  3 Tc 2.45
Sn (0.0000, 0.0000, 0.1913) [6 per cell]  3 Sn 2.86

Record 4
A plane-wave DFT calculation with PBE was carried out for a relaxed structure of Na8TlAg2.

Properties
- Density of states at the Fermi level: 0.375 states/eV per atom
- Polymorph energy (0 for the lowest one): 0.000 eV/atom

Cell: 5.4078 7.1426 9.4606 Å, 67.88 74.35 89.97°
Last column: nearest neighbours and their distance in Å.
Space group P1 (No. 1)
Unique sites:
Na (0.0000, 0.0000, 0.0000) [1 per cell]  3 Ag 3.06-3.18, 2 Na 3.39-3.42
Na (0.0232, 0.5487, 0.9453) [1 per cell]  1 Tl 3.23, 3 Ag 3.27-3.29, 3 Na 3.45-3.51
Na (0.1941, 0.0557, 0.6033) [1 per cell]  1 Tl 3.25, 4 Na 3.30-3.48
Na (0.3704, 0.8915, 0.2620) [1 per cell]  1 Tl 3.23, 3 Ag 3.26-3.28, 3 Na 3.44-3.51
Na (0.3941, 0.3962, 0.2082) [1 per cell]  3 Ag 3.06-3.18, 2 Na 3.37-3.42
Na (0.5919, 0.2828, 0.8135) [1 per cell]  1 Ag 3.09, 2 Tl 3.32-3.37, 3 Na 3.37-3.42
Na (0.6945, 0.7902, 0.6041) [1 per cell]  2 Ag 3.06, 4 Na 3.30-3.37, 2 Tl 3.36-3.37
Na (0.8016, 0.4956, 0.3920) [1 per cell]  1 Ag 3.09, 2 Tl 3.32-3.37, 3 Na 3.37-3.42
Tl (0.1961, 0.5109, 0.6030) [1 per cell]  9 Na 3.23-3.37
Ag (0.5311, 0.8146, 0.9321) [1 per cell]  8 Na 3.06-3.29
Ag (0.8632, 0.1428, 0.2764) [1 per cell]  8 Na 3.06-3.28

Record 5
A plane-wave DFT calculation with PBE was carried out for a relaxed structure of NaCeBrCl4.

Properties
- Raw formation energy: -1822 meV per atom

Cell: 12.1905 9.0977 10.3070 Å, 90.00 112.43 90.00°
Last column: nearest neighbours and their distance in Å.
Space group C2/m (No. 12)
Unique sites:
Na (0.1171, 0.0000, 0.3834) [4 per cell]  5 Cl 2.76-2.89
Ce (0.1382, 0.5000, 0.2138) [4 per cell]  4 Cl 2.57-2.64
Br (0.1195, 0.5000, 0.9238) [4 per cell]  2 Ce 2.91
Cl (0.1276, 0.0000, 0.6679) [4 per cell]  1 Ce 2.64, 2 Na 2.82-2.89
Cl (0.1312, 0.2158, 0.2016) [8 per cell]  1 Ce 2.59, 1 Na 2.76
Cl (0.1349, 0.5000, 0.4620) [4 per cell]  1 Ce 2.57, 1 Na 2.83

Record 6
A plane-wave DFT calculation with PBE was carried out for a relaxed structure of Zr2N2O.

Properties
- Raw formation energy: -2056 meV per atom
- Density of states at the Fermi level: 0.000 states/eV per atom

Cell: 8.8543 8.8660 8.8698 Å, 109.62 109.25 109.42°
Last column: nearest neighbours and their distance in Å.
Space group P1 (No. 1)
Unique sites:
Zr (0.0000, 0.0000, 0.0000) [1 per cell]  3 N 2.14-2.26, 3 O 2.16-2.23
Zr (0.0056, 0.4940, 0.5112) [1 per cell]  4 N 2.11-2.26, 2 O 2.24-2.29
Zr (0.0322, 0.2077, 0.7543) [1 per cell]  5 N 2.17-2.28, 1 O 2.24
Zr (0.2182, 0.6691, 0.9662) [1 per cell]  5 N 2.15-2.26, 1 O 2.26
Zr (0.2416, 0.4637, 0.2098) [1 per cell]  4 N 2.12-2.22, 2 O 2.24-2.31
Zr (0.2612, 0.9615, 0.7282) [1 per cell]  4 N 2.14-2.23, 2 O 2.27-2.28
Zr (0.2839, 0.2446, 0.4662) [1 per cell]  2 O 2.15-2.28, 4 N 2.17-2.30
Zr (0.4540, 0.6988, 0.6752) [1 per cell]  4 N 2.14-2.28, 2 O 2.24-2.27
Zr (0.4994, 0.9300, 0.4281) [1 per cell]  5 N 2.13-2.26, 1 O 2.35
Zr (0.5032, 0.4325, 0.9369) [1 per cell]  4 N 2.13-2.21, 2 O 2.32-2.34
Zr (0.5378, 0.2064, 0.2461) [1 per cell]  4 N 2.16-2.28, 2 O 2.19-2.23
Zr (0.7094, 0.1697, 0.9554) [1 per cell]  3 N 2.10-2.24, 3 O 2.15-2.24
Zr (0.7390, 0.4498, 0.6961) [1 per cell]  4 N 2.12-2.21, 2 O 2.30-2.31
Zr (0.7489, 0.9503, 0.2263) [1 per cell]  4 N 2.10-2.25, 2 O 2.30-2.34
Zr (0.7900, 0.7453, 0.4700) [1 per cell]  4 N 2.16-2.26, 2 O 2.17-2.23
Zr (0.9702, 0.7186, 0.1828) [1 per cell]  3 N 2.11-2.22, 3 O 2.18-2.25
N (0.0138, 0.9444, 0.7522) [1 per cell]  4 Zr 2.14-2.28
N (0.0248, 0.9918, 0.2586) [1 per cell]  4 Zr 2.11-2.26
N (0.2053, 0.4456, 0.4402) [1 per cell]  4 Zr 2.17-2.22
N (0.2153, 0.6968, 0.2279) [1 per cell]  4 Zr 2.12-2.26
N (0.2594, 0.7310, 0.7573) [1 per cell]  4 Zr 2.14-2.21
N (0.2959, 0.4689, 0.9876) [1 per cell]  4 Zr 2.13-2.26
N (0.4790, 0.2004, 0.9873) [1 per cell]  4 Zr 2.14-2.24
N (0.4803, 0.9254, 0.1658) [1 per cell]  4 Zr 2.17-2.26
N (0.4935, 0.9702, 0.6843) [1 per cell]  4 Zr 2.10-2.28
N (0.5080, 0.1870, 0.4852) [1 per cell]  4 Zr 2.12-2.28
N (0.5269, 0.5089, 0.7342) [1 per cell]  4 Zr 2.15-2.30
N (0.7111, 0.6856, 0.1851) [1 per cell]  4 Zr 2.13-2.22
N (0.7396, 0.4912, 0.4737) [1 per cell]  4 Zr 2.13-2.26
N (0.7826, 0.0024, 0.4876) [1 per cell]  4 Zr 2.10-2.26
N (0.9762, 0.4131, 0.7029) [1 per cell]  4 Zr 2.11-2.26
N (0.9792, 0.2321, 0.9807) [1 per cell]  4 Zr 2.16-2.18
O (0.0259, 0.7250, 0.4437) [1 per cell]  4 Zr 2.18-2.29
O (0.2361, 0.1826, 0.6660) [1 per cell]  4 Zr 2.15-2.34
O (0.2843, 0.2179, 0.2012) [1 per cell]  4 Zr 2.18-2.31
O (0.5233, 0.6821, 0.4515) [1 per cell]  4 Zr 2.17-2.35
O (0.7204, 0.9175, 0.9438) [1 per cell]  4 Zr 2.16-2.34
O (0.7672, 0.4246, 0.9540) [1 per cell]  4 Zr 2.15-2.32
O (0.7960, 0.2293, 0.2457) [1 per cell]  4 Zr 2.23-2.30
O (0.9848, 0.7287, 0.9436) [1 per cell]  4 Zr 2.20-2.30

Record 7
A plane-wave DFT calculation with PBE was carried out for a relaxed structure of GaBiSe2N.

Properties
- Raw formation energy: 842 meV per atom
- Density of states at the Fermi level: 0.863 states/eV per atom
- Polymorph energy (0 for the lowest one): 0.443 eV/atom

Cell: 5.5936 5.5936 4.5735 Å, 90.00 90.00 90.00°
Last column: nearest neighbours and their distance in Å.
Space group P4/mmm (No. 123)
Unique sites:
Ga (0.0000, 0.0000, 0.0000) [1 per cell]  8 Se 3.61, 4 N 3.96
Bi (0.5000, 0.5000, 0.5000) [1 per cell]  2 N 2.29
Se (0.0000, 0.5000, 0.5000) [2 per cell]  2 Bi 2.80
N (0.5000, 0.5000, 0.0000) [1 per cell]  2 Bi 2.29

Record 8
A plane-wave DFT calculation with PBE was carried out for a relaxed structure of TbSm4Er.

Properties
- Density of states at the Fermi level: 1.420 states/eV per atom
- Polymorph energy (0 for the lowest one): 0.000 eV/atom

Cell: 11.9365 3.5918 10.1613 Å, 90.00 115.15 90.00°
Last column: nearest neighbours and their distance in Å.
Space group C2/m (No. 12)
Unique sites:
Tb (0.0000, 0.0000, 0.0000) [2 per cell]  2 Tb 3.59, 10 Sm 3.60-3.61
Sm (0.1660, 0.5000, 0.3340) [4 per cell]  3 Er 3.58-3.61, 7 Sm 3.59-3.60, 2 Tb 3.60
Sm (0.1662, 0.5000, 0.8324) [4 per cell]  2 Er 3.59, 7 Sm 3.59-3.61, 3 Tb 3.60-3.61
Er (0.0000, 0.0000, 0.5000) [2 per cell]  10 Sm 3.58-3.61, 2 Er 3.59

no.,total magnetization (μB per formula unit)
1,4.00
2,0.00
3,0.00
4,0.00
5,0.00
6,0.00
7,2.41
8,0.00